# 1
VASP calculation (GGA-PBE) on a relaxed structure of CeTmTh2S4.

abc: 6.8429 3.9605 6.9884
angles: 90.00 108.98 90.00
Sites, in units of the cell vectors:
Ce: 0.0000 0.0000 0.0000
Tm: 0.5000 0.5000 0.0000
Th: 0.0000 0.5000 0.5000
Th: 0.5000 0.0000 0.5000
S: 0.2543 0.5000 0.2398
S: 0.2625 0.0000 0.7656
S: 0.7375 0.0000 0.2344
S: 0.7457 0.5000 0.7602

Output
Total magnetization: 0.159 μB/f.u.
E_form (uncorrected): -1.9124 eV per atom

=====

# 2
VASP calculation (GGA-PBE) on a relaxed structure of CeTm2ThS4.

abc: 6.7126 3.8877 6.9913
angles: 90.00 108.76 90.00
Sites, in units of the cell vectors:
Ce: 0.0000 0.0000 0.0000
Tm: 0.0000 0.5000 0.5000
Tm: 0.5000 0.0000 0.5000
Th: 0.5000 0.5000 0.0000
S: 0.2426 0.0000 0.7296
S: 0.2556 0.5000 0.2693
S: 0.7444 0.5000 0.7307
S: 0.7574 0.0000 0.2704

Output
Total magnetization: 0.696 μB/f.u.
E_form (uncorrected): -1.9422 eV per atom